No. 1
# PBE-GGA LiMnZnAu, relaxed
data_LiMnZnAu
_cell_length_a 6.221
_cell_length_b 6.221
_cell_length_c 6.221
_cell_angle_alpha 90.00
_cell_angle_beta 90.00
_cell_angle_gamma 90.00
_symmetry_space_group_name_H-M 'F -4 3 m'
_symmetry_Int_Tables_number 216
_symmetry_space_group_name_Hall 'F -4 2 3'
loop_
_atom_site_label
_atom_site_type_symbol
_atom_site_fract_x
_atom_site_fract_y
_atom_site_fract_z
Li1 Li 0.000 0.000 0.000
Mn1 Mn 0.000 0.000 0.500
Zn1 Zn 0.250 0.250 0.750
Au1 Au 0.250 0.250 0.250
# Total moment (μB per formula unit): 3.629
# ρ (g/cm³): 8.945
# E_form (eV/atom): -0.18
# Electronic total energy (eV for the cell shown): -65.35

***

No. 2
# PBE-GGA Pm2GeS, relaxed
data_Pm2GeS
_cell_length_a 5.877
_cell_length_b 5.877
_cell_length_c 11.794
_cell_angle_alpha 90.00
_cell_angle_beta 90.00
_cell_angle_gamma 90.00
_symmetry_space_group_name_H-M 'I 41/a m d'
_symmetry_Int_Tables_number 141
loop_
_symmetry_equiv_pos_as_xyz
'x,y,z'
'-x,-y,-z'
'-y+1/4,x+3/4,z+1/4'
'y+1/4,-x+3/4,-z+1/4'
'-x+1/2,-y,z+1/2'
'x+1/2,y,-z+1/2'
'y+1/4,-x+1/4,z+3/4'
'-y+1/4,x+1/4,-z+3/4'
'x,-y,-z'
'-x,y,z'
'-y+1/4,-x+1/4,-z+3/4'
'y+1/4,x+1/4,z+3/4'
'-x+1/2,y,-z+1/2'
'x+1/2,-y,z+1/2'
'y+1/4,x+3/4,-z+1/4'
'-y+1/4,-x+3/4,z+1/4'
'x+1/2,y+1/2,z+1/2'
'-x+1/2,-y+1/2,-z+1/2'
'-y+3/4,x+1/4,z+3/4'
'y+3/4,-x+1/4,-z+3/4'
'-x,-y+1/2,z'
'x,y+1/2,-z'
'y+3/4,-x+3/4,z+1/4'
'-y+3/4,x+3/4,-z+1/4'
'x+1/2,-y+1/2,-z+1/2'
'-x+1/2,y+1/2,z+1/2'
'-y+3/4,-x+3/4,-z+1/4'
'y+3/4,x+3/4,z+1/4'
'-x,y+1/2,-z'
'x,-y+1/2,z'
'y+3/4,x+1/4,-z+3/4'
'-y+3/4,-x+1/4,z+3/4'
loop_
_atom_site_label
_atom_site_type_symbol
_atom_site_fract_x
_atom_site_fract_y
_atom_site_fract_z
Pm1 Pm 0.000 0.250 0.123
Ge1 Ge 0.000 0.250 0.375
S1 S 0.000 0.250 0.875
# Total moment (μB per formula unit): 0.000
# ρ (g/cm³): 6.437
# E above lowest polymorph (meV/atom): 0
# Electronic total energy (eV for the cell shown): -96.93
# Formation energy (no corrections) (eV/atom): -1.4968

***

No. 3
# PBE-GGA RbLaZnRu2, relaxed
data_RbLaZnRu2
_cell_length_a 4.840
_cell_length_b 4.840
_cell_length_c 5.447
_cell_angle_alpha 90.00
_cell_angle_beta 90.00
_cell_angle_gamma 90.00
_symmetry_space_group_name_H-M 'P 4/m m m'
_symmetry_Int_Tables_number 123
_symmetry_space_group_name_Hall '-P 4 2'
loop_
_atom_site_label
_atom_site_type_symbol
_atom_site_fract_x
_atom_site_fract_y
_atom_site_fract_z
Rb1 Rb 0.000 0.000 0.000
La1 La 0.000 0.000 0.500
Zn1 Zn 0.500 0.500 0.500
Ru1 Ru 0.000 0.500 0.000
# Total moment (μB per formula unit): 1.424
# ρ (g/cm³): 6.400
# E_form (eV/atom): 2.11
# Electronic total energy (eV for the cell shown): -15.15

***

No. 4
# PBE-GGA Dy5YRu6, relaxed
data_Dy5YRu6
_cell_length_a 15.152
_cell_length_b 6.812
_cell_length_c 4.814
_cell_angle_alpha 90.00
_cell_angle_beta 108.41
_cell_angle_gamma 90.00
_symmetry_space_group_name_H-M 'C 1 2/m 1'
_symmetry_Int_Tables_number 12
_symmetry_space_group_name_Hall '-C 2y'
loop_
_atom_site_label
_atom_site_type_symbol
_atom_site_fract_x
_atom_site_fract_y
_atom_site_fract_z
Dy1 Dy 0.000 0.000 0.000
Dy2 Dy 0.166 0.500 0.666
Dy3 Dy 0.167 0.000 0.667
Y1 Y 0.000 0.500 0.000
Ru1 Ru 0.000 0.248 0.500
Ru2 Ru 0.167 0.249 0.168
# Total moment (μB per formula unit): 0.000
# ρ (g/cm³): 10.622
# E_form (eV/atom): -0.31
# Electronic total energy (eV for the cell shown): -177.77

***

No. 5
# PBE-GGA Sm4Sb3O, relaxed
data_Sm4Sb3O
_cell_length_a 12.256
_cell_length_b 6.273
_cell_length_c 6.274
_cell_angle_alpha 90.00
_cell_angle_beta 90.00
_cell_angle_gamma 90.00
_symmetry_space_group_name_H-M 'P m n 21'
_symmetry_Int_Tables_number 31
_symmetry_space_group_name_Hall 'P 2ac -2'
loop_
_atom_site_label
_atom_site_type_symbol
_atom_site_fract_x
_atom_site_fract_y
_atom_site_fract_z
Sm1 Sm 0.000 0.158 0.000
Sm2 Sm 0.000 0.746 0.408
Sm3 Sm 0.249 0.756 0.001
Sb1 Sb 0.000 0.245 0.499
Sb2 Sb 0.250 0.256 0.001
O1 O 0.000 0.818 0.069
# Total moment (μB per formula unit): 0.000
# ρ (g/cm³): 6.766
# Electronic total energy (eV for the cell shown): -95.63
# Formation energy (no corrections) (eV/atom): -1.4516

***

No. 6
# PBE-GGA Zr4OsO, relaxed
data_Zr4OsO
_cell_length_a 4.429
_cell_length_b 8.188
_cell_length_c 6.529
_cell_angle_alpha 90.00
_cell_angle_beta 90.00
_cell_angle_gamma 90.00
_symmetry_space_group_name_H-M 'P m m n'
_symmetry_Int_Tables_number 59
loop_
_symmetry_equiv_pos_as_xyz
'x,y,z'
'-x,-y,-z'
'-x+1/2,-y+1/2,z'
'x+1/2,y+1/2,-z'
'x+1/2,-y,-z'
'-x+1/2,y,z'
'-x,y+1/2,-z'
'x,-y+1/2,z'
loop_
_atom_site_label
_atom_site_type_symbol
_atom_site_fract_x
_atom_site_fract_y
_atom_site_fract_z
Zr1 Zr 0.250 0.051 0.188
Zr2 Zr 0.250 0.250 0.749
Zr3 Zr 0.250 0.750 0.558
Os1 Os 0.250 0.750 0.016
O1 O 0.250 0.250 0.415
# Total moment (μB per formula unit): 0.000
# ρ (g/cm³): 8.010
# E above lowest polymorph (meV/atom): 44
# Electronic total energy (eV for the cell shown): -111.11
# Formation energy (no corrections) (eV/atom): -0.8621

***

No. 7
# PBE-GGA Ce2Ga4NiPd3, relaxed
data_Ce2Ga4NiPd3
_cell_length_a 4.307
_cell_length_b 4.307
_cell_length_c 10.180
_cell_angle_alpha 90.00
_cell_angle_beta 90.00
_cell_angle_gamma 90.00
_symmetry_space_group_name_H-M 'P -4 m 2'
_symmetry_Int_Tables_number 115
_symmetry_space_group_name_Hall 'P -4 -2'
loop_
_atom_site_label
_atom_site_type_symbol
_atom_site_fract_x
_atom_site_fract_y
_atom_site_fract_z
Ce1 Ce 0.000 0.500 0.246
Ga1 Ga 0.000 0.000 0.500
Ga2 Ga 0.000 0.500 0.879
Ga3 Ga 0.500 0.500 0.500
Ni1 Ni 0.500 0.500 0.000
Pd1 Pd 0.000 0.000 0.000
Pd2 Pd 0.000 0.500 0.635
# Total moment (μB per formula unit): 1.664
# ρ (g/cm³): 8.242
# E_form (eV/atom): -0.68
# Electronic total energy (eV for the cell shown): -52.17

***

No. 8
# PBE-GGA HfSc3Pt, relaxed
data_HfSc3Pt
_cell_length_a 4.992
_cell_length_b 4.992
_cell_length_c 4.992
_cell_angle_alpha 90.00
_cell_angle_beta 90.00
_cell_angle_gamma 90.00
_symmetry_space_group_name_H-M 'P m -3 m'
_symmetry_Int_Tables_number 221
_symmetry_space_group_name_Hall '-P 4 2 3'
loop_
_atom_site_label
_atom_site_type_symbol
_atom_site_fract_x
_atom_site_fract_y
_atom_site_fract_z
Hf1 Hf 0.000 0.000 0.000
Sc1 Sc 0.000 0.000 0.500
Pt1 Pt 0.500 0.500 0.500
# Total moment (μB per formula unit): 0.000
# ρ (g/cm³): 6.787
# E_form (eV/atom): 0.87
# E above lowest polymorph (meV/atom): 877
# Electronic total energy (eV for the cell shown): -30.66